# ErFeP | Alexandria via LeMat-Bulk | PBE | optimized geometry
# E_form: -920 meV/atom
data_ErFeP
_space_group_name_H-M_alt 'I 4/m m m'
_space_group_IT_number 139
_space_group_name_Hall '-I 4 2'
_cell_length_a 3.8217
_cell_length_b 3.8217
_cell_length_c 13.1846
_cell_angle_alpha 90.00
_cell_angle_beta 90.00
_cell_angle_gamma 90.00
loop_
_atom_site_label
_atom_site_fract_x
_atom_site_fract_y
_atom_site_fract_z
Er1 0.0000 0.0000 0.1584
Fe1 0.0000 0.5000 0.0000
P1 0.0000 0.0000 0.3963



# ErFe4P2 | Alexandria via LeMat-Bulk | PBE | optimized geometry
# E_form: -699 meV/atom
data_ErFe4P2
_space_group_name_H-M_alt 'P 42/m n m'
_space_group_IT_number 136
_space_group_name_Hall '-P 4n 2n'
_cell_length_a 6.9921
_cell_length_b 6.9921
_cell_length_c 3.6178
_cell_angle_alpha 90.00
_cell_angle_beta 90.00
_cell_angle_gamma 90.00
loop_
_atom_site_label
_atom_site_fract_x
_atom_site_fract_y
_atom_site_fract_z
Er1 0.0000 0.0000 0.0000
Fe1 0.0826 0.3419 0.5000
P1 0.2197 0.7803 0.5000



> E_form of number 2 (ErFe4P2)?

-699 meV/atom



> Which of these has the highest E_form?

ErFe4P2



Repeat the first record exactly.
# ErFeP | Alexandria via LeMat-Bulk | PBE | optimized geometry
# E_form: -920 meV/atom
data_ErFeP
_space_group_name_H-M_alt 'I 4/m m m'
_space_group_IT_number 139
_space_group_name_Hall '-I 4 2'
_cell_length_a 3.8217
_cell_length_b 3.8217
_cell_length_c 13.1846
_cell_angle_alpha 90.00
_cell_angle_beta 90.00
_cell_angle_gamma 90.00
loop_
_atom_site_label
_atom_site_fract_x
_atom_site_fract_y
_atom_site_fract_z
Er1 0.0000 0.0000 0.1584
Fe1 0.0000 0.5000 0.0000
P1 0.0000 0.0000 0.3963



> Which of these has the highest E_form?

ErFe4P2